16
Lattice="-4.601 4.601 7.082 4.601 -4.601 7.082 4.601 4.601 -7.082" Properties=species:S:1:pos:R:3 comment="Ac5Hg2Bi (GGA-PBE, relaxed)" space_group=I4/mcm e_form_kcal_per_mol_atoms=-10.73 magmom_total_mub_per_atom=0.0000 pbc="T T T"
Ac 0.000 0.000 0.000
Ac 6.018 1.417 -2.059
Ac 1.417 3.185 -2.059
Ac 6.018 1.417 2.059
Ac 1.417 3.185 2.059
Ac 0.000 0.000 7.082
Ac 3.185 1.417 5.023
Ac -1.417 3.185 5.023
Ac 3.185 1.417 9.141
Ac -1.417 3.185 9.141
Hg 3.310 1.292 0.000
Hg 3.310 -1.292 7.082
Hg 1.292 5.893 0.000
Hg 1.292 3.310 7.082
Bi 0.000 0.000 3.541
Bi 0.000 0.000 10.623

=====

9
Lattice="4.498 0.000 0.000 2.215 6.186 0.000 0.377 2.080 9.731" Properties=species:S:1:pos:R:3 comment="AcHg6Bi2 (GGA-PBE, relaxed)" space_group=P-1 e_form_kcal_per_mol_atoms=-4.93 magmom_total_mub_per_atom=0.0000 pbc="T T T"
Ac 0.000 0.000 0.000
Hg 2.545 7.174 6.411
Hg 2.377 3.195 4.286
Hg 2.607 3.152 7.358
Hg 4.483 5.115 2.373
Hg 4.713 5.072 5.445
Hg 4.546 1.092 3.320
Bi 2.235 2.670 1.054
Bi 4.856 5.596 8.677